Entry 1:
DFT (GGA-PBE) results for an optimized crystal structure of CsRb12Au5.

Output
* M_tot: 0.00 μB per formula unit
* electronic total energy: -1.7541 eV/atom
* formation energy from the elements: -0.151 eV per atom
* space group: Immm (71)

Cell lengths 11.1093, 11.1093, 11.1093 Å; angles 105.65, 113.72, 109.14 degrees
With the nearest neighbours (Å) after each atom.
Fractional coordinates of all 18 atoms:
Rb 0.3280 0.6819 0.0099  3 Au 3.52-3.53
Rb 0.5390 0.8353 0.7037  2 Au 3.56
Rb 0.8685 0.1647 0.7037  2 Au 3.56
Rb 0.1315 0.8353 0.2963  2 Au 3.56
Au 0.5000 0.1073 0.6073  1 Au 2.88
Cs 0.0000 0.5000 0.5000  12 Rb 4.67-4.98
Rb 0.1946 0.3813 0.1868  2 Au 3.51-3.54
Au 0.0000 0.0000 0.0000  4 Rb 3.54
Rb 0.8054 0.9922 0.1868  2 Au 3.51-3.54
Rb 0.6720 0.3181 0.9901  3 Au 3.52-3.53
Rb 0.3280 0.3181 0.6461  3 Au 3.52-3.53
Au 0.6142 0.6142 0.0000  1 Au 2.94
Rb 0.4610 0.1647 0.2963  2 Au 3.56
Rb 0.8054 0.6187 0.8132  2 Au 3.51-3.54
Au 0.5000 0.8927 0.3927  1 Au 2.88
Rb 0.1946 0.0078 0.8132  2 Au 3.51-3.54
Au 0.3858 0.3858 0.0000  1 Au 2.94
Rb 0.6720 0.6819 0.3539  3 Au 3.52-3.53

---

Entry 2:
DFT (GGA-PBE) results for an optimized crystal structure of Ac5Y3H12.

Output
* M_tot: 0.00 μB per formula unit
* electronic total energy: -4.3582 eV/atom
* space group: Ia-3d (230)

Cell lengths 12.2082, 12.2082, 12.2082 Å; angles 109.47, 109.47, 109.47 degrees
With the nearest neighbours (Å) after each atom.
Fractional coordinates of all 80 atoms:
Y 0.2500 0.1250 0.3750  4 H 2.28
Y 0.6250 0.3750 0.7500  4 H 2.28
Ac 0.6250 0.8750 0.2500  4 H 2.47
Ac 0.3750 0.2500 0.1250  4 H 2.47
H 0.9391 0.8473 0.7689  1 H 2.23, 1 Y 2.28, 2 Ac 2.47-2.48
Y 0.6250 0.2500 0.3750  4 H 2.28
H 0.4083 0.3298 0.5609  1 H 2.23, 1 Y 2.28, 2 Ac 2.47-2.48
H 0.8473 0.9391 0.2689  1 H 2.23, 1 Y 2.28, 2 Ac 2.47-2.48
H 0.6702 0.5917 0.9391  1 H 2.23, 1 Y 2.28, 2 Ac 2.47-2.48
H 0.2311 0.5784 0.6702  1 H 2.23, 1 Y 2.28, 2 Ac 2.47-2.48
H 0.4391 0.1702 0.5917  1 H 2.23, 1 Y 2.28, 2 Ac 2.47-2.48
Ac 0.0000 0.0000 0.5000  6 H 2.48
Y 0.8750 0.7500 0.1250  4 H 2.28
Y 0.1250 0.2500 0.8750  4 H 2.28
Ac 0.2500 0.3750 0.6250  4 H 2.47
Y 0.8750 0.1250 0.2500  4 H 2.28
H 0.5917 0.6702 0.4391  1 H 2.23, 1 Y 2.28, 2 Ac 2.47-2.48
H 0.2311 0.6527 0.0609  1 H 2.23, 1 Y 2.28, 2 Ac 2.47-2.48
Ac 0.2500 0.8750 0.1250  4 H 2.47
H 0.5917 0.9216 0.6527  1 H 2.23, 1 Y 2.28, 2 Ac 2.47-2.48
H 0.8298 0.2689 0.4216  1 H 2.23, 1 Y 2.28, 2 Ac 2.47-2.48
Ac 0.0000 0.5000 0.0000  6 H 2.48
H 0.6527 0.4216 0.5917  1 H 2.23, 1 Y 2.28, 2 Ac 2.47-2.48
H 0.2689 0.4391 0.8473  1 H 2.23, 1 Y 2.28, 2 Ac 2.47-2.48
Ac 0.3750 0.1250 0.7500  4 H 2.47
H 0.3473 0.7689 0.4391  1 H 2.23, 1 Y 2.28, 2 Ac 2.47-2.48
Ac 0.6250 0.7500 0.8750  4 H 2.47
H 0.9216 0.5917 0.1527  1 H 2.23, 1 Y 2.28, 2 Ac 2.47-2.48
H 0.9216 0.3298 0.2689  1 H 2.23, 1 Y 2.28, 2 Ac 2.47-2.48
H 0.2689 0.8298 0.9216  1 H 2.23, 1 Y 2.28, 2 Ac 2.47-2.48
H 0.7311 0.1702 0.0784  1 H 2.23, 1 Y 2.28, 2 Ac 2.47-2.48
H 0.3298 0.9216 0.7689  1 H 2.23, 1 Y 2.28, 2 Ac 2.47-2.48
Ac 0.0000 0.0000 0.0000  6 H 2.48
H 0.8473 0.9083 0.0784  1 H 2.23, 1 Y 2.28, 2 Ac 2.47-2.48
H 0.6527 0.2311 0.5609  1 H 2.23, 1 Y 2.28, 2 Ac 2.47-2.48
H 0.3298 0.4083 0.0609  1 H 2.23, 1 Y 2.28, 2 Ac 2.47-2.48
H 0.0784 0.6702 0.7311  1 H 2.23, 1 Y 2.28, 2 Ac 2.47-2.48
H 0.9083 0.8473 0.5784  1 H 2.23, 1 Y 2.28, 2 Ac 2.47-2.48
H 0.5784 0.3473 0.9083  1 H 2.23, 1 Y 2.28, 2 Ac 2.47-2.48
Ac 0.7500 0.1250 0.8750  4 H 2.47
Ac 0.5000 0.0000 0.0000  6 H 2.48
Y 0.1250 0.8750 0.7500  4 H 2.28
Y 0.3750 0.7500 0.6250  4 H 2.28
H 0.0609 0.1527 0.2311  1 H 2.23, 1 Y 2.28, 2 Ac 2.47-2.48
H 0.8298 0.5609 0.9083  1 H 2.23, 1 Y 2.28, 2 Ac 2.47-2.48
H 0.4216 0.7689 0.8298  1 H 2.23, 1 Y 2.28, 2 Ac 2.47-2.48
Ac 0.5000 0.0000 0.5000  6 H 2.48
Ac 0.0000 0.5000 0.5000  6 H 2.48
H 0.0609 0.9083 0.3298  1 H 2.23, 1 Y 2.28, 2 Ac 2.47-2.48
H 0.1702 0.7311 0.5784  1 H 2.23, 1 Y 2.28, 2 Ac 2.47-2.48
H 0.1702 0.4391 0.0917  1 H 2.23, 1 Y 2.28, 2 Ac 2.47-2.48
H 0.3473 0.5784 0.4083  1 H 2.23, 1 Y 2.28, 2 Ac 2.47-2.48
H 0.7689 0.4216 0.3298  1 H 2.23, 1 Y 2.28, 2 Ac 2.47-2.48
H 0.5609 0.8298 0.4083  1 H 2.23, 1 Y 2.28, 2 Ac 2.47-2.48
H 0.0784 0.4083 0.8473  1 H 2.23, 1 Y 2.28, 2 Ac 2.47-2.48
H 0.4216 0.6527 0.0917  1 H 2.23, 1 Y 2.28, 2 Ac 2.47-2.48
H 0.4391 0.2689 0.3473  1 H 2.23, 1 Y 2.28, 2 Ac 2.47-2.48
H 0.6702 0.0784 0.2311  1 H 2.23, 1 Y 2.28, 2 Ac 2.47-2.48
H 0.4083 0.0784 0.3473  1 H 2.23, 1 Y 2.28, 2 Ac 2.47-2.48
Y 0.7500 0.8750 0.6250  4 H 2.28
Ac 0.8750 0.6250 0.7500  4 H 2.47
H 0.1527 0.0609 0.7311  1 H 2.23, 1 Y 2.28, 2 Ac 2.47-2.48
H 0.7689 0.3473 0.9391  1 H 2.23, 1 Y 2.28, 2 Ac 2.47-2.48
Ac 0.5000 0.5000 0.0000  6 H 2.48
H 0.9391 0.0917 0.6702  1 H 2.23, 1 Y 2.28, 2 Ac 2.47-2.48
H 0.9083 0.0609 0.8298  1 H 2.23, 1 Y 2.28, 2 Ac 2.47-2.48
H 0.5784 0.2311 0.1702  1 H 2.23, 1 Y 2.28, 2 Ac 2.47-2.48
Ac 0.5000 0.5000 0.5000  6 H 2.48
H 0.0917 0.9391 0.1702  1 H 2.23, 1 Y 2.28, 2 Ac 2.47-2.48
Ac 0.8750 0.2500 0.6250  4 H 2.47
Y 0.7500 0.3750 0.1250  4 H 2.28
Ac 0.7500 0.6250 0.3750  4 H 2.47
Ac 0.1250 0.7500 0.3750  4 H 2.47
H 0.0917 0.1527 0.4216  1 H 2.23, 1 Y 2.28, 2 Ac 2.47-2.48
Ac 0.1250 0.3750 0.2500  4 H 2.47
H 0.7311 0.5609 0.1527  1 H 2.23, 1 Y 2.28, 2 Ac 2.47-2.48
Y 0.2500 0.6250 0.8750  4 H 2.28
H 0.5609 0.7311 0.6527  1 H 2.23, 1 Y 2.28, 2 Ac 2.47-2.48
H 0.1527 0.0917 0.9216  1 H 2.23, 1 Y 2.28, 2 Ac 2.47-2.48
Y 0.3750 0.6250 0.2500  4 H 2.28

---

Entry 3:
DFT (GGA-PBE) results for an optimized crystal structure of ScTeOs2.

Output
* E_form (uncorrected): 0.196 eV/atom
* M_tot: 0.00 μB per formula unit
* electronic total energy: -7.7873 eV/atom
* space group: C2/m (12)

Cell lengths 4.7397, 4.7397, 5.0844 Å; angles 80.43, 80.43, 38.09 degrees
With the nearest neighbours (Å) after each atom.
Fractional coordinates of all 4 atoms:
Te 0.2500 0.2500 0.2500  6 Os 2.71-2.84, 4 Sc 2.98
Os 0.0032 0.0032 0.0081  3 Te 2.71-2.84, 3 Sc 2.81-2.83, 2 Os 2.90
Sc 0.7500 0.7500 0.7500  6 Os 2.81-2.83, 4 Te 2.98, 2 Sc 3.09
Os 0.4968 0.4968 0.4919  3 Te 2.71-2.84, 3 Sc 2.81-2.83, 2 Os 2.90

---

Entry 4:
DFT (GGA-PBE) results for an optimized crystal structure of LiPm8Ge6.

Output
* M_tot: 0.00 μB per formula unit
* electronic total energy: -5.1416 eV/atom
* formation energy from the elements: -0.633 eV per atom
* space group: R-3 (148)

Cell lengths 8.9105, 8.9105, 8.0024 Å; angles 56.17, 56.17, 60.00 degrees
With the nearest neighbours (Å) after each atom.
Fractional coordinates of all 15 atoms:
Pm 0.6689 0.6689 0.9933  6 Ge 3.15-3.25
Ge 0.7297 0.4189 0.7851  7 Pm 2.96-3.25
Pm 0.3311 0.3311 0.0067  6 Ge 3.15-3.25
Li 0.0000 0.0000 0.0000  6 Pm 3.30, 6 Ge 3.34
Ge 0.5811 0.9337 0.2149  7 Pm 2.96-3.25
Pm 0.5955 0.2172 0.2910  5 Ge 2.96-3.12, 1 Li 3.30
Pm 0.8962 0.5955 0.2910  5 Ge 2.96-3.12, 1 Li 3.30
Pm 0.7828 0.1038 0.7090  5 Ge 2.96-3.12, 1 Li 3.30
Ge 0.4189 0.0663 0.7851  7 Pm 2.96-3.25
Pm 0.4045 0.7828 0.7090  5 Ge 2.96-3.12, 1 Li 3.30
Pm 0.2172 0.8962 0.2910  5 Ge 2.96-3.12, 1 Li 3.30
Ge 0.0663 0.7297 0.7851  7 Pm 2.96-3.25
Ge 0.9337 0.2703 0.2149  7 Pm 2.96-3.25
Ge 0.2703 0.5811 0.2149  7 Pm 2.96-3.25
Pm 0.1038 0.4045 0.7090  5 Ge 2.96-3.12, 1 Li 3.30

---

Entry 5:
DFT (GGA-PBE) results for an optimized crystal structure of Sr4CdCu3.

Output
* M_tot: 0.00 μB per formula unit
* electronic total energy: -2.6174 eV/atom
* formation energy from the elements: -0.126 eV per atom
* space group: Pmm2 (25)

Cell lengths 4.4899, 4.4867, 12.0990 Å; angles 90.00, 90.00, 90.00 degrees
With the nearest neighbours (Å) after each atom.
Fractional coordinates of all 8 atoms:
Sr 0.0000 0.0000 0.1498  4 Cd 3.35, 3 Cu 3.50-3.65
Sr 0.0000 0.5000 0.8486  5 Cu 3.32-3.56, 2 Cd 3.42
Cu 0.0000 0.5000 0.5541  2 Cu 2.56
Sr 0.5000 0.0000 0.6366  7 Cu 3.17-3.52
Sr 0.5000 0.5000 0.3698  6 Cu 3.16-3.32
Cd 0.5000 0.5000 0.0617  2 Cu 2.77
Cu 0.0000 0.0000 0.4514  2 Cu 2.56
Cu 0.5000 0.0000 0.9280  2 Cd 2.77

---

Entry 6:
DFT (GGA-PBE) results for an optimized crystal structure of Pd5Pb4.

Output
* M_tot: 0.00 μB per formula unit
* electronic total energy: -4.7247 eV/atom
* formation energy from the elements: -0.192 eV per atom
* space group: I4/m (87)

Cell lengths 4.0449, 7.2137, 7.2137 Å; angles 85.49, 73.72, 73.72 degrees
With the nearest neighbours (Å) after each atom.
Fractional coordinates of all 9 atoms:
Pb 0.2932 0.6538 0.7598  6 Pd 2.79-2.92
Pd 0.6763 0.9413 0.7061  5 Pb 2.79-2.92, 4 Pd 2.90-2.93
Pd 0.6176 0.7061 0.0587  5 Pb 2.79-2.92, 4 Pd 2.90-2.93
Pb 0.9470 0.7598 0.3462  6 Pd 2.79-2.92
Pd 0.3824 0.2939 0.9413  5 Pb 2.79-2.92, 4 Pd 2.90-2.93
Pb 0.0530 0.2402 0.6538  6 Pd 2.79-2.92
Pd 0.3237 0.0587 0.2939  5 Pb 2.79-2.92, 4 Pd 2.90-2.93
Pd 0.0000 0.0000 0.0000  8 Pd 2.90, 4 Pb 2.92
Pb 0.7068 0.3462 0.2402  6 Pd 2.79-2.92

---

Entry 7:
DFT (GGA-PBE) results for an optimized crystal structure of Pm2SmI.

Output
* E_form (uncorrected): -0.393 eV/atom
* M_tot: 0.00 μB per formula unit
* electronic total energy: -4.3353 eV/atom
* ΔE to the lowest computed polymorph: 0.0 kJ/mol of formula units
* space group: R-3m (166)

Cell lengths 3.8049, 3.8049, 10.9778 Å; angles 80.02, 80.02, 60.00 degrees
With the nearest neighbours (Å) after each atom.
Fractional coordinates of all 4 atoms:
Pm 0.2551 0.2551 0.2346  3 I 3.35, 3 Sm 3.60
I 0.0000 0.0000 0.0000  6 Pm 3.35
Sm 0.5000 0.5000 0.5000  6 Pm 3.60, 6 Sm 3.80
Pm 0.7449 0.7449 0.7654  3 I 3.35, 3 Sm 3.60

---

Entry 8:
DFT (GGA-PBE) results for an optimized crystal structure of ZnRhBr4.

Output
* E_form (uncorrected): 1.034 eV/atom
* M_tot: 1.72 μB per formula unit
* electronic total energy: -1.5183 eV/atom
* space group: F-43m (216)

Cell lengths 6.1981, 6.1981, 6.1981 Å; angles 60.00, 60.00, 60.00 degrees
With the nearest neighbours (Å) after each atom.
Fractional coordinates of all 6 atoms:
Zn 0.0000 0.0000 0.0000  12 Br 3.63, 4 Rh 3.80
Rh 0.7500 0.7500 0.7500  12 Br 3.63, 4 Zn 3.80
Br 0.3751 0.3751 0.3751  6 Br 3.10
Br 0.8748 0.3751 0.3751  6 Br 3.10
Br 0.3751 0.8748 0.3751  6 Br 3.10
Br 0.3751 0.3751 0.8748  6 Br 3.10